No. 1
This record from Alexandria describes an optimized crystal structure of La3Cd2Pt3. The functional is GGA-PBE.

**Formation enthalpy at 0 K**: -0.88 eV per atom

Cell lengths 6.0314, 8.8039, 8.8039 Å; angles 120.00, 90.00, 90.00 degrees
Closest atoms and distances in Å follow each position.
Fractional positions:
La (0.7500, 0.2890, 0.0000)  5 Pt 2.96-3.11
La (0.7500, 0.7110, 0.7110)  5 Pt 2.96-3.11
La (0.7500, 0.0000, 0.2890)  5 Pt 2.96-3.11
La (0.2500, 0.7110, 0.0000)  5 Pt 2.96-3.11
La (0.2500, 0.2890, 0.2890)  5 Pt 2.96-3.11
La (0.2500, 0.0000, 0.7110)  5 Pt 2.96-3.11
Cd (0.0000, 0.3333, 0.6667)  2 Cd 3.02, 6 Pt 3.15
Cd (0.5000, 0.6667, 0.3333)  2 Cd 3.02, 6 Pt 3.15
Cd (0.0000, 0.6667, 0.3333)  2 Cd 3.02, 6 Pt 3.15
Cd (0.5000, 0.3333, 0.6667)  2 Cd 3.02, 6 Pt 3.15
Pt (0.7500, 0.6247, 0.0000)  5 La 2.96-3.11, 4 Cd 3.15
Pt (0.7500, 0.3753, 0.3753)  5 La 2.96-3.11, 4 Cd 3.15
Pt (0.7500, 0.0000, 0.6247)  5 La 2.96-3.11, 4 Cd 3.15
Pt (0.2500, 0.3753, 0.0000)  5 La 2.96-3.11, 4 Cd 3.15
Pt (0.2500, 0.6247, 0.6247)  5 La 2.96-3.11, 4 Cd 3.15
Pt (0.2500, 0.0000, 0.3753)  5 La 2.96-3.11, 4 Cd 3.15

=====

No. 2
This record from Alexandria describes an optimized crystal structure of La2CdPt. The functional is GGA-PBE.

**Formation enthalpy at 0 K**: -0.68 eV per atom

Cell lengths 4.3006, 4.3006, 8.3232 Å; angles 75.03, 75.03, 60.00 degrees
Closest atoms and distances in Å follow each position.
Fractional positions:
La (0.0674, 0.0674, 0.7978)  3 Pt 2.97
La (0.2666, 0.2666, 0.2003)  3 Pt 2.94
Cd (0.5003, 0.5003, 0.4991)  6 La 3.43-3.44
Pt (0.6657, 0.6657, 0.0029)  6 La 2.94-2.97

=====

No. 3
This record from Alexandria describes an optimized crystal structure of La2CdPt. The functional is GGA-PBE.

**Formation enthalpy at 0 K**: -0.45 eV per atom

Cell lengths 3.8280, 3.8280, 7.2663 Å; angles 90.00, 90.00, 90.00 degrees
Closest atoms and distances in Å follow each position.
Fractional positions:
Cd (0.5000, 0.5000, 0.7270)  5 La 3.09-3.28, 4 Pt 3.21
Pt (0.0000, 0.0000, 0.4895)  4 La 3.03, 4 Cd 3.21
La (0.0000, 0.0000, 0.9815)  4 Cd 3.28, 4 La 3.57, 1 Pt 3.58
La (0.5000, 0.5000, 0.3021)  4 Pt 3.03, 1 Cd 3.09

=====

No. 4
This record from Alexandria describes an optimized crystal structure of La6Cd5Pt. The functional is GGA-PBE.

**Formation enthalpy at 0 K**: -0.46 eV per atom

Cell lengths 5.4532, 7.8478, 9.4738 Å; angles 65.53, 73.42, 90.00 degrees
Closest atoms and distances in Å follow each position.
Fractional positions:
Cd (0.6878, 0.1890, 0.6220)  8 La 3.32-3.56, 2 Cd 3.58-3.61
Cd (0.3328, 0.3317, 0.3366)  8 La 3.42-3.51, 2 Cd 3.58-3.61
Cd (0.0000, 0.5000, 0.0000)  8 La 3.29-3.49
Cd (0.6672, 0.6683, 0.6634)  8 La 3.42-3.51, 2 Cd 3.58-3.61
Cd (0.3122, 0.8110, 0.3780)  8 La 3.32-3.56, 2 Cd 3.58-3.61
Pt (0.0000, 0.0000, 0.0000)  8 La 3.12-3.24
La (0.8462, 0.6138, 0.3093)  1 Pt 3.12, 7 Cd 3.29-3.45
La (0.8461, 0.0770, 0.3093)  1 Pt 3.12, 7 Cd 3.29-3.45
La (0.5000, 0.7767, 0.0000)  2 Pt 3.24, 6 Cd 3.49-3.56, 1 La 3.51
La (0.5000, 0.2233, 0.0000)  2 Pt 3.24, 6 Cd 3.49-3.56, 1 La 3.51
La (0.1539, 0.9230, 0.6907)  1 Pt 3.12, 7 Cd 3.29-3.45
La (0.1538, 0.3862, 0.6907)  1 Pt 3.12, 7 Cd 3.29-3.45

=====

No. 5
This record from Alexandria describes an optimized crystal structure of LaCd3Pt. The functional is GGA-PBE.

**Formation enthalpy at 0 K**: -0.53 eV per atom
**Distance to the lowest polymorph of the same formula**: 0.000 eV/atom

Cell lengths 5.6069, 5.9483, 7.6083 Å; angles 90.00, 110.80, 90.00 degrees
Closest atoms and distances in Å follow each position.
Fractional positions:
La (0.7346, 0.9476, 0.9017)  4 Pt 2.91-3.18
La (0.2997, 0.4476, 0.6589)  4 Pt 2.91-3.18
Cd (0.8565, 0.4476, 0.1766)  1 Pt 2.80, 2 Cd 3.01
Cd (0.1778, 0.9476, 0.3840)  1 Pt 2.80, 2 Cd 3.01
Cd (0.7262, 0.1896, 0.4715)  2 Pt 2.85-3.04, 5 Cd 2.88-3.18
Cd (0.7262, 0.7056, 0.4715)  2 Pt 2.85-3.04, 5 Cd 2.88-3.18
Cd (0.3081, 0.6897, 0.0891)  2 Pt 2.85-3.04, 5 Cd 2.88-3.18
Cd (0.3081, 0.2056, 0.0891)  2 Pt 2.85-3.04, 5 Cd 2.88-3.18
Pt (0.8540, 0.4476, 0.8083)  5 Cd 2.80-3.04, 2 La 2.91-3.09
Pt (0.1803, 0.9476, 0.7523)  5 Cd 2.80-3.04, 2 La 2.91-3.09

=====

No. 6
This record from Alexandria describes an optimized crystal structure of La6CdPt. The functional is GGA-PBE.

**Formation enthalpy at 0 K**: -0.17 eV per atom

Cell lengths 7.0224, 7.0284, 8.1129 Å; angles 64.49, 64.46, 60.06 degrees
Closest atoms and distances in Å follow each position.
Fractional positions:
La (0.0342, 0.4282, 0.7385)  1 Pt 2.90, 1 Cd 3.17
La (0.7991, 0.0341, 0.7379)  1 Pt 2.90, 1 Cd 3.17
La (0.5716, 0.1998, 0.2622)  1 Pt 2.90, 1 Cd 3.17
La (0.2009, 0.9659, 0.2621)  1 Pt 2.90, 1 Cd 3.17
La (0.9658, 0.5718, 0.2615)  1 Pt 2.90, 1 Cd 3.17
La (0.4284, 0.8002, 0.7378)  1 Pt 2.90, 1 Cd 3.17
Cd (0.5000, 0.5000, 0.5000)  6 La 3.17
Pt (0.0000, 0.0000, 0.0000)  6 La 2.90